A plane-wave DFT calculation with SCAN was carried out for a crystal of Y3Sc relaxed with PBEsol.

Values from the calculation:
- DOS(E_F) (states/eV per atom) = 1.46
- V (Å³ per cell) = 115
- crystal system = trigonal
- total DFT energy (no corrections) (eV/atom) = -24.3527
- formation energy from the elements (eV/f.u.) = 0.355
- excess energy over the best structure of this formula in the dataset (meV per atom) = 71

a = 11.3251 Å, b = 11.3251 Å, c = 11.3251 Å
α = 17.49°, β = 17.49°, γ = 17.49°
Last column: nearest neighbours and their distance in Å.
Fractional positions:
Y: 0.0000 0.0000 0.0000  12 Y 3.44-3.51
Y: 0.2468 0.2468 0.2468  3 Sc 3.34, 9 Y 3.44-3.51
Y: 0.7532 0.7532 0.7532  3 Sc 3.34, 9 Y 3.44-3.51
Sc: 0.5000 0.5000 0.5000  6 Y 3.34, 6 Sc 3.44


A plane-wave DFT calculation with SCAN was carried out for a crystal of YSc relaxed with PBEsol.

Values from the calculation:
- DOS(E_F) (states/eV per atom) = 1.33
- V (Å³ per cell) = 217
- crystal system = orthorhombic
- total DFT energy (no corrections) (eV/atom) = -21.0123
- formation energy from the elements (eV/f.u.) = 0.055
- excess energy over the best structure of this formula in the dataset (meV per atom) = 6

a = 5.9375 Å, b = 5.3200 Å, c = 6.8687 Å
α = 90.00°, β = 90.00°, γ = 90.00°
Last column: nearest neighbours and their distance in Å.
Fractional positions:
Y: 0.0901 0.2500 0.1267  8 Sc 3.31-3.50, 4 Y 3.35-3.42
Y: 0.4099 0.7500 0.6267  8 Sc 3.31-3.50, 4 Y 3.35-3.42
Y: 0.5901 0.2500 0.3733  8 Sc 3.31-3.50, 4 Y 3.35-3.42
Y: 0.9099 0.7500 0.8733  8 Sc 3.31-3.50, 4 Y 3.35-3.42
Sc: 0.0774 0.2500 0.6237  4 Sc 3.29-3.44, 8 Y 3.31-3.50
Sc: 0.4226 0.7500 0.1237  4 Sc 3.29-3.44, 8 Y 3.31-3.50
Sc: 0.5774 0.2500 0.8763  4 Sc 3.29-3.44, 8 Y 3.31-3.50
Sc: 0.9226 0.7500 0.3763  4 Sc 3.29-3.44, 8 Y 3.31-3.50


A plane-wave DFT calculation with SCAN was carried out for a crystal of Y2Sc3 relaxed with PBEsol.

Values from the calculation:
- DOS(E_F) (states/eV per atom) = 1.82
- V (Å³ per cell) = 131
- crystal system = tetragonal
- total DFT energy (no corrections) (eV/atom) = -19.5803
- formation energy from the elements (eV/f.u.) = 0.495
- excess energy over the best structure of this formula in the dataset (meV per atom) = 4

a = 11.8594 Å, b = 11.8594 Å, c = 11.8594 Å
α = 163.74°, β = 163.74°, γ = 23.07°
Last column: nearest neighbours and their distance in Å.
Fractional positions:
Y: 0.1944 0.1944 0.0000  4 Sc 3.35, 8 Y 3.35-3.51
Y: 0.8056 0.8056 0.0000  4 Sc 3.35, 8 Y 3.35-3.51
Sc: 0.0000 0.0000 0.0000  12 Sc 3.20-3.35
Sc: 0.4076 0.4076 0.0000  8 Sc 3.20-3.35, 4 Y 3.35
Sc: 0.5924 0.5924 0.0000  8 Sc 3.20-3.35, 4 Y 3.35


Among the records above, which one has the lowest DOS(E_F)? YSc


Which value of total DFT energy (no corrections) does entry 2 give? -21.0123 eV/atom


Look up the excess energy over the best structure of this formula in the dataset of the second one. 6 meV per atom